Np2NiAs3Rh4 | Alexandria | PBE-GGA | optimized geometry; uncorrected energy = -79.95 eV/cell; energy of formation = -4.9 eV/f.u.; theoretical density = 11.11 g/cm3; space-group type = No. 115
1.0
4.066 0.000 0.000
0.000 4.066 0.000
0.000 0.000 10.570
Np Ni As Rh
2 1 3 4
direct
0.000 0.500 0.236 Np
0.500 0.000 0.764 Np
0.500 0.500 0.000 Ni
0.000 0.000 0.000 As
0.000 0.500 0.636 As
0.500 0.000 0.364 As
0.000 0.000 0.500 Rh
0.000 0.500 0.861 Rh
0.500 0.000 0.139 Rh
0.500 0.500 0.500 Rh

LiCu3O4 | Alexandria | PBE-GGA | optimized geometry; uncorrected energy = -80.84 eV/cell; theoretical density = 5.54 g/cm3; space-group type = No. 15
1.0
4.211 -3.880 0.000
4.211 3.880 0.000
-4.153 0.000 4.796
Li Cu O
2 6 8
direct
0.000 0.500 0.000 Li
0.500 0.000 0.500 Li
0.000 0.000 0.000 Cu
0.000 0.000 0.500 Cu
0.000 0.500 0.500 Cu
0.500 0.000 0.000 Cu
0.500 0.500 0.000 Cu
0.500 0.500 0.500 Cu
0.201 0.702 0.451 O
0.218 0.242 0.405 O
0.242 0.218 0.905 O
0.298 0.799 0.049 O
0.702 0.201 0.951 O
0.758 0.782 0.095 O
0.782 0.758 0.595 O
0.799 0.298 0.549 O

Hg2AsHBr | Alexandria | PBE-GGA | optimized geometry; uncorrected energy = -10.20 eV/cell; theoretical density = 8.39 g/cm3; space-group type = No. 123
1.0
5.449 0.000 0.000
0.000 5.449 0.000
0.000 0.000 3.714
Hg As H Br
2 1 1 1
direct
0.000 0.500 0.000 Hg
0.500 0.000 0.000 Hg
0.000 0.000 0.000 As
0.000 0.000 0.500 H
0.500 0.500 0.500 Br